[1]
VASP calculation (PBE) on a relaxed Nd2Sm6Hg crystal.

POSCAR file:
```
Nd2Sm6Hg
1.0
9.573 0.000 0.000
-4.787 8.291 0.000
0.000 0.000 3.750
Nd Sm Hg
2 6 1
direct
0.333 0.667 0.000
0.667 0.333 0.000
0.000 0.383 0.500
0.000 0.733 0.000
0.267 0.267 0.000
0.383 0.000 0.500
0.617 0.617 0.500
0.733 0.000 0.000
0.000 0.000 0.500
```

Properties
M_tot, μB/cell: 0.0
Space-group type: P-62m, No. 189
Formation energy from the elements, meV/atom: -98
Distance to the lowest polymorph of the same formula, meV/atom: 0



[2]
VASP calculation (PBE) on a relaxed Nd2SmHg3 crystal.

POSCAR file:
```
Nd2SmHg3
1.0
2.697 -8.092 0.000
2.697 8.092 0.000
0.000 0.000 7.686
Nd Sm Hg
4 2 6
direct
0.000 0.000 0.000
0.000 0.000 0.500
0.334 0.666 0.000
0.666 0.334 0.000
0.333 0.667 0.500
0.667 0.333 0.500
0.168 0.832 0.255
0.168 0.832 0.745
0.500 0.500 0.253
0.500 0.500 0.747
0.832 0.168 0.255
0.832 0.168 0.745
```

Properties
M_tot, μB/cell: 2.7
Space-group type: Cmmm, No. 65
Formation energy from the elements, meV/atom: -473



[3]
VASP calculation (PBE) on a relaxed Nd3Sm12Hg crystal.

POSCAR file:
```
Nd3Sm12Hg
1.0
5.066 0.000 0.000
0.000 5.066 0.000
0.000 0.000 20.551
Nd Sm Hg
3 12 1
direct
0.000 0.000 0.000
0.000 0.000 0.254
0.000 0.000 0.746
0.000 0.500 0.127
0.000 0.500 0.381
0.000 0.500 0.619
0.000 0.500 0.873
0.500 0.000 0.127
0.500 0.000 0.381
0.500 0.000 0.619
0.500 0.000 0.873
0.500 0.500 0.000
0.500 0.500 0.258
0.500 0.500 0.500
0.500 0.500 0.742
0.000 0.000 0.500
```

Properties
M_tot, μB/cell: 0.0
Space-group type: P4/mmm, No. 123
Formation energy from the elements, meV/atom: -17



Q: M_tot of number 1 (Nd2Sm6Hg)?
A: 0.0 μB/cell



What did the first record say?
VASP calculation (PBE) on a relaxed Nd2Sm6Hg crystal.

POSCAR file:
```
Nd2Sm6Hg
1.0
9.573 0.000 0.000
-4.787 8.291 0.000
0.000 0.000 3.750
Nd Sm Hg
2 6 1
direct
0.333 0.667 0.000
0.667 0.333 0.000
0.000 0.383 0.500
0.000 0.733 0.000
0.267 0.267 0.000
0.383 0.000 0.500
0.617 0.617 0.500
0.733 0.000 0.000
0.000 0.000 0.500
```

Properties
M_tot, μB/cell: 0.0
Space-group type: P-62m, No. 189
Formation energy from the elements, meV/atom: -98
Distance to the lowest polymorph of the same formula, meV/atom: 0



Q: Which of these has the highest M_tot?
A: Nd2SmHg3